[1]
{"formula": "LaSnW", "functional": "GGA-PBE", "state": "relaxed", "lattice_angstrom": [[0.000, 3.394, 3.394], [3.394, 0.000, 3.394], [3.394, 3.394, 0.000]], "species": ["La", "Sn", "W"], "fractional_positions": [[0.000, 0.000, 0.000], [0.500, 0.500, 0.500], [0.250, 0.250, 0.250]], "e_tot_ev_per_atom": -6.678, "space_group": "No. 216"}

[2]
{"formula": "ZrCdB", "functional": "GGA-PBE", "state": "relaxed", "lattice_angstrom": [[0.000, 3.041, 3.041], [3.041, 0.000, 3.041], [3.041, 3.041, 0.000]], "species": ["Zr", "Cd", "B"], "fractional_positions": [[0.000, 0.000, 0.000], [0.750, 0.750, 0.750], [0.500, 0.500, 0.500]], "e_tot_ev_per_atom": -4.325, "space_group": "No. 216"}

[3]
{"formula": "RbNb3P5", "functional": "GGA-PBE", "state": "relaxed", "lattice_angstrom": [[5.609, 0.000, 0.000], [-2.804, 4.857, 0.000], [0.000, 0.000, 7.619]], "species": ["Rb", "Nb", "Nb", "Nb", "P", "P", "P", "P", "P"], "fractional_positions": [[0.000, 0.000, 0.000], [0.000, 0.500, 0.500], [0.500, 0.000, 0.500], [0.500, 0.500, 0.500], [0.000, 0.000, 0.500], [0.333, 0.667, 0.241], [0.333, 0.667, 0.759], [0.667, 0.333, 0.241], [0.667, 0.333, 0.759]], "e_tot_ev_per_atom": -6.790, "space_group": "No. 191"}

[4]
{"formula": "TaBeTeAs", "functional": "GGA-PBE", "state": "relaxed", "lattice_angstrom": [[0.000, 3.332, 3.332], [3.332, 0.000, 3.332], [3.332, 3.332, 0.000]], "species": ["Ta", "Be", "Te", "As"], "fractional_positions": [[0.000, 0.000, 0.000], [0.250, 0.250, 0.250], [0.750, 0.750, 0.750], [0.500, 0.500, 0.500]], "e_tot_ev_per_atom": -4.998, "space_group": "No. 216"}

[5]
{"formula": "BaLiTcOs", "functional": "GGA-PBE", "state": "relaxed", "lattice_angstrom": [[0.000, 3.357, 3.357], [3.357, 0.000, 3.357], [3.357, 3.357, 0.000]], "species": ["Ba", "Li", "Tc", "Os"], "fractional_positions": [[0.000, 0.000, 0.000], [0.500, 0.500, 0.500], [0.750, 0.750, 0.750], [0.250, 0.250, 0.250]], "e_tot_ev_per_atom": -4.913, "space_group": "No. 216"}

[6]
{"formula": "MgNbMoAs", "functional": "GGA-PBE", "state": "relaxed", "lattice_angstrom": [[0.000, 3.209, 3.209], [3.209, 0.000, 3.209], [3.209, 3.209, 0.000]], "species": ["Mg", "Nb", "Mo", "As"], "fractional_positions": [[0.000, 0.000, 0.000], [0.250, 0.250, 0.250], [0.750, 0.750, 0.750], [0.500, 0.500, 0.500]], "e_tot_ev_per_atom": -6.448, "space_group": "No. 216"}

[7]
{"formula": "Nd2HoCd3AgHg2", "functional": "GGA-PBE", "state": "relaxed", "lattice_angstrom": [[4.139, 0.000, 0.000], [0.000, 6.865, 3.977], [0.000, -6.865, 3.977]], "species": ["Nd", "Nd", "Ho", "Cd", "Cd", "Cd", "Ag", "Hg", "Hg"], "fractional_positions": [[0.000, 0.203, 0.797], [0.000, 0.797, 0.203], [0.000, 0.608, 0.608], [0.500, 0.204, 0.455], [0.500, 0.455, 0.204], [0.500, 0.954, 0.954], [0.000, 0.209, 0.209], [0.500, 0.540, 0.864], [0.500, 0.864, 0.540]], "ef_ev_per_fu": -3.6, "space_group": "No. 38"}

[8]
{"formula": "H2Os3C8S2O8", "functional": "GGA-PBE", "state": "relaxed", "lattice_angstrom": [[5.909, -6.078, 0.000], [5.909, 6.078, 0.000], [-4.836, 0.000, 9.951]], "species": ["H", "H", "H", "H", "Os", "Os", "Os", "Os", "Os", "Os", "C", "C", "C", "C", "C", "C", "C", "C", "C", "C", "C", "C", "C", "C", "C", "C", "S", "S", "S", "S", "O", "O", "O", "O", "O", "O", "O", "O", "O", "O", "O", "O", "O", "O", "O", "O"], "fractional_positions": [[0.048, 0.705, 0.798], [0.295, 0.952, 0.702], [0.705, 0.048, 0.298], [0.952, 0.295, 0.202], [0.160, 0.840, 0.750], [0.205, 0.537, 0.804], [0.463, 0.795, 0.696], [0.537, 0.205, 0.304], [0.795, 0.463, 0.196], [0.840, 0.160, 0.250], [0.019, 0.362, 0.711], [0.034, 0.143, 0.382], [0.143, 0.034, 0.882], [0.188, 0.549, 0.975], [0.356, 0.378, 0.809], [0.362, 0.019, 0.211], [0.378, 0.356, 0.309], [0.451, 0.812, 0.525], [0.549, 0.188, 0.475], [0.622, 0.644, 0.691], [0.638, 0.981, 0.789], [0.644, 0.622, 0.191], [0.812, 0.451, 0.025], [0.857, 0.966, 0.118], [0.966, 0.857, 0.618], [0.981, 0.638, 0.289], [0.217, 0.585, 0.601], [0.415, 0.783, 0.899], [0.585, 0.217, 0.101], [0.783, 0.415, 0.399], [0.086, 0.750, 0.344], [0.134, 0.156, 0.964], [0.156, 0.134, 0.464], [0.180, 0.555, 0.079], [0.250, 0.914, 0.156], [0.283, 0.451, 0.313], [0.445, 0.820, 0.421], [0.451, 0.283, 0.813], [0.549, 0.717, 0.187], [0.555, 0.180, 0.579], [0.717, 0.549, 0.687], [0.750, 0.086, 0.844], [0.820, 0.445, 0.921], [0.844, 0.866, 0.536], [0.866, 0.844, 0.036], [0.914, 0.250, 0.656]], "e_tot_ev_per_atom": -7.653, "space_group": "No. 15"}